Crystalline Mg2ZrBi at its relaxed geometry, computed with PBE.

abc: 8.4064 8.4064 6.6310
angles: 50.66 50.66 90.00
Fractional coordinates of all 8 atoms:
1 Mg 0.6413 0.1250 0.2500
2 Mg 0.1087 0.6250 0.2500
3 Mg 0.3750 0.3587 0.7500
4 Mg 0.8750 0.8913 0.7500
5 Bi 0.0000 0.0000 0.0000
6 Bi 0.7500 0.2500 0.5000
7 Zr 0.5000 0.5000 0.0000
8 Zr 0.2500 0.7500 0.5000

Properties
For the energy, the calculation gives -3.72 eV/atom. Its volume is 207.7 Å³ per cell. As for the density of states at the Fermi level: 0.73 states/eV per atom.


Crystalline Sc2BeSe at its relaxed geometry, computed with PBE.

abc: 4.7108 4.7108 3.2844
angles: 89.81 89.81 101.58
Fractional coordinates of all 4 atoms:
1 Sc 0.0000 0.0000 0.0000
2 Sc 0.5000 0.5000 0.0000
3 Be 0.0000 0.5000 0.5000
4 Se 0.5000 0.0000 0.5000

Properties
For the energy, the calculation gives -5.43 eV/atom. Its volume is 71.4 Å³ per cell. For the raw formation energy, the calculation gives -466.4 meV/atom. As for the density of states at the Fermi level: 0.80 states/eV per atom. The energy above the most stable polymorph in this dataset is 0.243 eV/atom.


Crystalline Ac2InSi at its relaxed geometry, computed with PBE.

abc: 4.3581 6.5779 9.7373
angles: 111.97 90.00 90.00
Fractional coordinates of all 8 atoms:
1 Ac 0.7500 0.2099 0.4361
2 Ac 0.2500 0.7901 0.5639
3 Ac 0.2500 0.7811 0.0798
4 Ac 0.7500 0.2189 0.9202
5 In 0.2500 0.3583 0.2157
6 In 0.7500 0.6417 0.7843
7 Si 0.7500 0.6500 0.2887
8 Si 0.2500 0.3500 0.7113

Properties
For the energy, the calculation gives -4.59 eV/atom. Its volume is 258.9 Å³ per cell. For the raw formation energy, the calculation gives -495.8 meV/atom. As for the density of states at the Fermi level: 0.74 states/eV per atom.


Crystalline YIn2Mo at its relaxed geometry, computed with PBE.

abc: 5.0044 5.0044 5.0044
angles: 60.00 60.00 60.00
Fractional coordinates of all 4 atoms:
1 In 0.0000 0.0000 0.0000
2 In 0.7500 0.7500 0.7500
3 Mo 0.5000 0.5000 0.5000
4 Y 0.2500 0.2500 0.2500

Properties
For the energy, the calculation gives -5.33 eV/atom. Its volume is 88.6 Å³ per cell. As for the density of states at the Fermi level: 1.36 states/eV per atom. The energy above the most stable polymorph in this dataset is 0.361 eV/atom.


Crystalline Pr8In2Pb at its relaxed geometry, computed with PBE.

abc: 5.0836 8.3920 9.2628
angles: 109.81 105.93 90.00
Fractional coordinates of all 11 atoms:
1 Pr 0.4022 0.5489 0.8045
2 Pr 0.6790 0.9345 0.3579
3 Pr 0.8547 0.7899 0.7093
4 Pr 0.9465 0.2677 0.8929
5 Pr 0.1453 0.2101 0.2907
6 Pr 0.3210 0.0655 0.6421
7 Pr 0.5978 0.4511 0.1955
8 Pr 0.0535 0.7323 0.1071
9 In 0.7770 0.3487 0.5540
10 In 0.2230 0.6513 0.4460
11 Pb 0.5000 0.0000 0.0000

Properties
For the energy, the calculation gives -4.59 eV/atom. Its volume is 355.6 Å³ per cell. As for the density of states at the Fermi level: 1.15 states/eV per atom.


Crystalline La8InGe3Br4 at its relaxed geometry, computed with PBE.

abc: 8.9937 8.8627 8.9936
angles: 120.49 120.00 90.00
Fractional coordinates of all 16 atoms:
1 La 0.2484 0.7301 0.9817
2 La 0.2484 0.7301 0.4968
3 La 0.2596 0.2787 0.5191
4 La 0.7333 0.7301 0.9817
5 La 0.2667 0.2699 0.0183
6 La 0.7404 0.7213 0.4809
7 La 0.7516 0.2699 0.5032
8 La 0.7516 0.2699 0.0183
9 In 0.0000 0.5000 0.0000
10 Ge 0.5000 0.5000 0.0000
11 Ge 0.5000 0.5000 0.5000
12 Ge 0.0000 0.5000 0.5000
13 Br 0.5000 0.0000 0.0000
14 Br 0.5000 0.0000 0.5000
15 Br 0.0000 0.0000 0.0000
16 Br 0.0000 0.0000 0.5000

Properties
For the energy, the calculation gives -5.04 eV/atom. Its volume is 503.1 Å³ per cell. For the raw formation energy, the calculation gives -1124.2 meV/atom. As for the density of states at the Fermi level: 0.50 states/eV per atom.